A plane-wave DFT calculation with GGA+U was carried out for crystalline PmCoAsO6 at its relaxed geometry.

Cell: 4.9452 4.9212 5.0947 Å, 89.73 89.46 59.84°
Atoms (fractional coordinates):
Pm1 0.0029 0.9942 0.0000
Co1 0.6704 0.6592 0.5000
As1 0.3331 0.3337 0.5000
O1 0.0016 0.3788 0.2930
O2 0.3744 0.0059 0.7068
O3 0.6194 0.3789 0.7070
O4 0.0053 0.6217 0.7073
O5 0.3729 0.6216 0.2926
O6 0.6196 0.0059 0.2932

Summary:
The value obtained for the raw total energy is -60.1 eV per cell. The value obtained for the size of the total moment is 1.029 μB per cell. Its space group is C2, No. 5.